{
  "formula": "Cs2KBaBr",
  "functional": "PBE",
  "state": "optimized geometry",
  "cell": [[-6.579, -2.984, 2.252], [0.505, -5.226, -5.449], [3.195, -3.957, 4.092]],
  "species": ["Ba", "Cs", "Cs", "Br", "K"],
  "frac_coords": [[0.000, 0.000, 0.500], [0.500, 0.000, 0.000], [0.000, 0.500, 0.000], [0.000, 0.000, 0.000], [0.500, 0.500, 0.500]],
  "m_tot_mub_per_fu": 0.00,
  "e_form_raw_ev_per_fu": -2.88
}

{
  "formula": "CsBaLaBr6",
  "functional": "PBE",
  "state": "optimized geometry",
  "cell": [[-3.125, -3.539, 6.773], [1.308, -4.515, -6.787], [13.833, -3.128, 4.747]],
  "species": ["La", "La", "Cs", "Cs", "Br", "Br", "Br", "Br", "Br", "Br", "Br", "Br", "Br", "Br", "Br", "Br", "Ba", "Ba"],
  "frac_coords": [[0.667, 0.333, 0.250], [0.333, 0.667, 0.750], [0.000, 0.000, 0.000], [0.000, 0.000, 0.500], [0.613, 0.640, 0.637], [0.026, 0.387, 0.637], [0.640, 0.026, 0.363], [0.360, 0.387, 0.863], [0.640, 0.613, 0.137], [0.974, 0.613, 0.363], [0.613, 0.974, 0.863], [0.387, 0.026, 0.137], [0.360, 0.974, 0.637], [0.974, 0.360, 0.137], [0.387, 0.360, 0.363], [0.026, 0.640, 0.863], [0.333, 0.667, 0.250], [0.667, 0.333, 0.750]],
  "m_tot_mub_per_fu": 0.00,
  "e_form_raw_ev_per_fu": -18.26
}

{
  "formula": "CsBaLi2Br5",
  "functional": "PBE",
  "state": "optimized geometry",
  "cell": [[5.346, 0.000, 0.000], [0.000, 5.346, 0.000], [0.000, 0.000, 10.411]],
  "species": ["Br", "Br", "Br", "Br", "Br", "Ba", "Li", "Li", "Cs"],
  "frac_coords": [[0.500, 0.500, 0.500], [0.000, 0.500, 0.806], [0.500, 0.000, 0.194], [0.000, 0.500, 0.194], [0.500, 0.000, 0.806], [0.000, 0.000, 0.000], [0.500, 0.500, 0.258], [0.500, 0.500, 0.742], [0.000, 0.000, 0.500]],
  "m_tot_mub_per_fu": 0.00,
  "e_form_raw_ev_per_fu": -16.34
}

{
  "formula": "CsBaLiBr4",
  "functional": "PBE",
  "state": "optimized geometry",
  "cell": [[7.523, 0.000, -0.087], [0.000, 7.545, 0.000], [-3.060, 0.000, 9.472]],
  "species": ["Br", "Br", "Br", "Br", "Br", "Br", "Br", "Br", "Cs", "Cs", "Li", "Li", "Ba", "Ba"],
  "frac_coords": [[0.992, 0.498, 0.279], [0.008, 0.502, 0.721], [0.582, 0.250, 0.429], [0.418, 0.750, 0.571], [0.416, 0.750, 0.154], [0.584, 0.250, 0.846], [0.992, 0.002, 0.279], [0.008, 0.998, 0.721], [0.729, 0.750, 0.935], [0.271, 0.250, 0.065], [0.220, 0.750, 0.315], [0.780, 0.250, 0.685], [0.770, 0.750, 0.447], [0.230, 0.250, 0.553]],
  "m_tot_mub_per_fu": 0.00,
  "e_form_raw_ev_per_fu": -13.28
}

{
  "formula": "Cs2BaMgBr6",
  "functional": "PBE",
  "state": "optimized geometry",
  "cell": [[8.286, 0.000, 0.000], [0.000, 8.286, 0.000], [4.143, 4.143, 5.859]],
  "species": ["Cs", "Cs", "Br", "Br", "Br", "Br", "Br", "Br", "Ba", "Mg"],
  "frac_coords": [[0.750, 0.250, 0.500], [0.250, 0.750, 0.500], [0.270, 0.270, 0.000], [0.730, 0.730, 0.000], [0.730, 0.270, 0.000], [0.270, 0.730, 0.000], [0.730, 0.730, 0.540], [0.270, 0.270, 0.460], [0.000, 0.000, 0.000], [0.500, 0.500, 0.000]],
  "m_tot_mub_per_fu": 0.00,
  "e_form_raw_ev_per_fu": -18.04
}

{
  "formula": "Cs3BaMg2Br9",
  "functional": "PBE",
  "state": "optimized geometry",
  "cell": [[7.992, 0.000, 0.000], [-3.996, 6.921, 0.000], [0.000, 0.000, 10.222]],
  "species": ["Mg", "Mg", "Br", "Br", "Br", "Br", "Br", "Br", "Br", "Br", "Br", "Cs", "Cs", "Cs", "Ba"],
  "frac_coords": [[0.333, 0.667, 0.153], [0.667, 0.333, 0.847], [0.647, 0.824, 0.304], [0.500, 0.000, 0.000], [0.000, 0.500, 0.000], [0.824, 0.647, 0.696], [0.824, 0.176, 0.696], [0.176, 0.824, 0.304], [0.176, 0.353, 0.304], [0.500, 0.500, 0.000], [0.353, 0.176, 0.696], [0.667, 0.333, 0.299], [0.000, 0.000, 0.000], [0.333, 0.667, 0.701], [0.000, 0.000, 0.500]],
  "m_tot_mub_per_fu": 0.00,
  "e_form_raw_ev_per_fu": -25.94
}